1.
## NaErBe (PBE-GGA)

Data for NaErBe after structural relaxation.

symmetry	F-43m (216)
size of the total moment	0.49	μB per formula unit

abc: 4.6950 4.6950 4.6950
angles: 60.00 60.00 60.00
Sites, in units of the cell vectors:
Na (0.0000, 0.0000, 0.0000)
Er (0.5000, 0.5000, 0.5000)
Be (0.7500, 0.7500, 0.7500)

2.
## NaErBeS3 (PBE-GGA)

Data for NaErBeS3 after structural relaxation.

symmetry	Cmcm (63)
size of the total moment	0.00	μB per formula unit

abc: 6.6796 6.6796 10.4113
angles: 90.00 90.00 147.25
Sites, in units of the cell vectors:
Na (0.2488, 0.7512, 0.7500)
Na (0.7512, 0.2488, 0.2500)
Er (0.0000, 0.0000, 0.0000)
Er (0.0000, 0.0000, 0.5000)
Be (0.4640, 0.5360, 0.2500)
Be (0.5360, 0.4640, 0.7500)
S (0.0663, 0.9337, 0.2500)
S (0.3700, 0.6300, 0.0862)
S (0.3700, 0.6300, 0.4138)
S (0.6300, 0.3700, 0.5862)
S (0.6300, 0.3700, 0.9138)
S (0.9337, 0.0663, 0.7500)

3.
## NaErBeSe3 (PBE-GGA)

Data for NaErBeSe3 after structural relaxation.

symmetry	Cmcm (63)
size of the total moment	0.01	μB per formula unit

abc: 7.0221 7.0221 10.7880
angles: 90.00 90.00 147.60
Sites, in units of the cell vectors:
Na (0.2472, 0.7528, 0.7500)
Na (0.7528, 0.2472, 0.2500)
Er (0.0000, 0.0000, 0.0000)
Er (0.0000, 0.0000, 0.5000)
Be (0.4649, 0.5351, 0.2500)
Be (0.5351, 0.4649, 0.7500)
Se (0.0694, 0.9306, 0.2500)
Se (0.3667, 0.6333, 0.0829)
Se (0.3667, 0.6333, 0.4171)
Se (0.6333, 0.3667, 0.5829)
Se (0.6333, 0.3667, 0.9171)
Se (0.9306, 0.0694, 0.7500)

4.
## NaErBeTe3 (PBE-GGA)

Data for NaErBeTe3 after structural relaxation.

symmetry	Cmcm (63)
size of the total moment	0.00	μB per formula unit

abc: 7.5477 7.5477 11.4849
angles: 90.00 90.00 147.88
Sites, in units of the cell vectors:
Na (0.2452, 0.7548, 0.7500)
Na (0.7548, 0.2452, 0.2500)
Er (0.0000, 0.0000, 0.0000)
Er (0.0000, 0.0000, 0.5000)
Be (0.4660, 0.5340, 0.2500)
Be (0.5340, 0.4660, 0.7500)
Te (0.0729, 0.9271, 0.2500)
Te (0.3630, 0.6370, 0.0786)
Te (0.3630, 0.6370, 0.4214)
Te (0.6370, 0.3630, 0.5786)
Te (0.6370, 0.3630, 0.9214)
Te (0.9271, 0.0729, 0.7500)

5.
## ErBeNb (PBE-GGA)

Data for ErBeNb after structural relaxation.

symmetry	F-43m (216)
size of the total moment	0.07	μB per formula unit

abc: 4.3736 4.3736 4.3736
angles: 60.00 60.00 60.00
Sites, in units of the cell vectors:
Er (0.0000, 0.0000, 0.0000)
Be (0.2500, 0.2500, 0.2500)
Nb (0.5000, 0.5000, 0.5000)

6.
## ErBeNb (PBE-GGA)

Data for ErBeNb after structural relaxation.

symmetry	F-43m (216)
size of the total moment	2.39	μB per formula unit

abc: 4.6030 4.6030 4.6030
angles: 60.00 60.00 60.00
Sites, in units of the cell vectors:
Er (0.0000, 0.0000, 0.0000)
Be (0.7500, 0.7500, 0.7500)
Nb (0.2500, 0.2500, 0.2500)

7.
## NdErBe2Si2 (PBE-GGA)

Data for NdErBe2Si2 after structural relaxation.

symmetry	P-3m1 (164)
size of the total moment	0.00	μB per formula unit

abc: 3.9024 3.9024 8.2140
angles: 90.00 90.00 120.00
Sites, in units of the cell vectors:
Nd (0.0000, 0.0000, 0.0000)
Er (0.0000, 0.0000, 0.5000)
Be (0.3333, 0.6667, 0.7387)
Be (0.6667, 0.3333, 0.2613)
Si (0.3333, 0.6667, 0.2613)
Si (0.6667, 0.3333, 0.7387)

8.
## ErNpBe (PBE-GGA)

Data for ErNpBe after structural relaxation.

symmetry	F-43m (216)
size of the total moment	4.44	μB per formula unit

abc: 4.6105 4.6105 4.6105
angles: 60.00 60.00 60.00
Sites, in units of the cell vectors:
Er (0.0000, 0.0000, 0.0000)
Np (0.5000, 0.5000, 0.5000)
Be (0.2500, 0.2500, 0.2500)

9.
## Er2BeO4 (PBE-GGA)

Data for Er2BeO4 after structural relaxation.

symmetry	Fd-3m (227)
size of the total moment	0.00	μB per formula unit

abc: 6.2279 6.2279 6.2279
angles: 60.00 60.00 60.00
Sites, in units of the cell vectors:
Er (0.0000, 0.0000, 0.0000)
Er (0.0000, 0.0000, 0.5000)
Er (0.0000, 0.5000, 0.0000)
Er (0.5000, 0.0000, 0.0000)
Be (0.3750, 0.3750, 0.3750)
Be (0.6250, 0.6250, 0.6250)
O (0.2551, 0.2551, 0.2551)
O (0.2551, 0.2551, 0.7348)
O (0.2551, 0.7348, 0.2551)
O (0.2652, 0.7449, 0.7449)
O (0.7348, 0.2551, 0.2551)
O (0.7449, 0.2652, 0.7449)
O (0.7449, 0.7449, 0.2652)
O (0.7449, 0.7449, 0.7449)

10.
## ErBePO (PBE-GGA)

Data for ErBePO after structural relaxation.

symmetry	Pmc2_1 (26)
size of the total moment	0.01	μB per formula unit

abc: 3.0998 5.6060 6.5155
angles: 90.00 90.00 90.00
Sites, in units of the cell vectors:
Er (0.0000, 0.2204, 0.0000)
Er (0.0000, 0.7796, 0.5000)
Be (0.5000, 0.2623, 0.3780)
Be (0.5000, 0.7377, 0.8780)
P (0.5000, 0.4061, 0.6829)
P (0.5000, 0.5939, 0.1829)
O (0.0000, 0.1262, 0.3354)
O (0.0000, 0.8738, 0.8354)

11.
## ErBePO (PBE-GGA)

Data for ErBePO after structural relaxation.

symmetry	P4/nmm (129)
size of the total moment	0.00	μB per formula unit

abc: 3.9405 3.9405 9.0491
angles: 90.00 90.00 90.00
Sites, in units of the cell vectors:
Er (0.2500, 0.7500, 0.0000)
Er (0.7500, 0.2500, 0.0000)
Be (0.2500, 0.2500, 0.4905)
Be (0.7500, 0.7500, 0.5095)
P (0.2500, 0.2500, 0.1954)
P (0.7500, 0.7500, 0.8046)
O (0.2500, 0.7500, 0.5000)
O (0.7500, 0.2500, 0.5000)

12.
## ErBePO (PBE-GGA)

Data for ErBePO after structural relaxation.

symmetry	P4/nmm (129)
size of the total moment	0.00	μB per formula unit

abc: 3.7195 3.7195 8.2879
angles: 90.00 90.00 90.00
Sites, in units of the cell vectors:
Er (0.2500, 0.2500, 0.1386)
Er (0.7500, 0.7500, 0.8614)
Be (0.2500, 0.7500, 0.5000)
Be (0.7500, 0.2500, 0.5000)
P (0.2500, 0.2500, 0.6515)
P (0.7500, 0.7500, 0.3485)
O (0.2500, 0.7500, 0.0000)
O (0.7500, 0.2500, 0.0000)

Raw total energy for every record listed, in sequence, given in eV/atom: -2.544 -5.175 -4.681 -4.099 -5.603 -4.669 -5.232 -6.312 -7.570 -6.258 -5.194 -6.583.